Entry from Alexandria via LeMat-Bulk: a geometry-optimized RuBr2 structure (PBE).

Output
The calculation puts the formation energy (no corrections) at -0.0655 eV per atom. Its total magnetization is 0.0 μB/f.u. The distance to the lowest polymorph of the same formula is 0 meV per atom. Its crystal system is trigonal.

a b c (Å): 3.7868 3.7868 6.2706
angles (deg): 90.00 90.00 120.00
Space group P-3m1 (No. 164)
One atom of each set of equivalent atoms:
Ru (0.0000, 0.0000, 0.0000) (multiplicity 1)
Br (0.3333, 0.6667, 0.7909) (multiplicity 2)